A plane-wave DFT calculation with PBE was carried out for a relaxed Ce3Nd2S4 crystal.

a b c (Å): 6.9560 6.9560 9.8499
angles (deg): 118.19 118.19 33.47
Positions (direct):
Ce: 0.0000 0.0000 0.0000
Ce: 0.2006 0.2006 0.8017
Ce: 0.7994 0.7994 0.1983
Nd: 0.3990 0.3990 0.6006
Nd: 0.6010 0.6010 0.3994
S: 0.2003 0.2003 0.2993
S: 0.3990 0.3990 0.0990
S: 0.6010 0.6010 0.9010
S: 0.7997 0.7997 0.7007

Output
The uncorrected formation energy is -1762 meV/atom. The value obtained for the total magnetic moment is 1.92 μB/f.u. As for the electronic total energy: -6.634 eV/atom.

***

A plane-wave DFT calculation with PBE was carried out for a relaxed Ce2NdS5 crystal.

a b c (Å): 12.0451 8.1657 7.4910
angles (deg): 90.00 90.00 90.00
Positions (direct):
Ce: 0.1804 0.0006 0.0097
Ce: 0.1804 0.4994 0.0097
Ce: 0.3196 0.5006 0.5097
Ce: 0.3196 0.9994 0.5097
Ce: 0.6804 0.0006 0.4903
Ce: 0.6804 0.4994 0.4903
Ce: 0.8196 0.5006 0.9903
Ce: 0.8196 0.9994 0.9903
Nd: 0.0089 0.7500 0.5800
Nd: 0.4911 0.2500 0.0800
Nd: 0.5089 0.7500 0.9200
Nd: 0.9911 0.2500 0.4200
S: 0.0027 0.7500 0.9680
S: 0.1083 0.0438 0.6609
S: 0.1083 0.4562 0.6609
S: 0.1877 0.7500 0.3227
S: 0.2171 0.2500 0.2907
S: 0.2829 0.7500 0.7907
S: 0.3123 0.2500 0.8227
S: 0.3917 0.5438 0.1609
S: 0.3917 0.9562 0.1609
S: 0.4973 0.2500 0.4680
S: 0.5027 0.7500 0.5320
S: 0.6083 0.0438 0.8391
S: 0.6083 0.4562 0.8391
S: 0.6877 0.7500 0.1773
S: 0.7171 0.2500 0.2093
S: 0.7829 0.7500 0.7093
S: 0.8123 0.2500 0.6773
S: 0.8917 0.5438 0.3391
S: 0.8917 0.9562 0.3391
S: 0.9973 0.2500 0.0320

Output
The uncorrected formation energy is -1934 meV/atom. The value obtained for the total magnetic moment is 1.04 μB/f.u. As for the electronic total energy: -6.593 eV/atom.

***

A plane-wave DFT calculation with PBE was carried out for a relaxed Ce3Nd5S8 crystal.

a b c (Å): 8.1070 8.1070 8.1070
angles (deg): 60.00 60.00 60.00
Positions (direct):
Ce: 0.0000 0.5000 0.5000
Ce: 0.5000 0.0000 0.5000
Ce: 0.5000 0.5000 0.0000
Nd: 0.0000 0.0000 0.0000
Nd: 0.0000 0.0000 0.5000
Nd: 0.0000 0.5000 0.0000
Nd: 0.5000 0.0000 0.0000
Nd: 0.5000 0.5000 0.5000
S: 0.2500 0.2500 0.7474
S: 0.2500 0.7474 0.2500
S: 0.2511 0.2511 0.2511
S: 0.2526 0.7500 0.7500
S: 0.7474 0.2500 0.2500
S: 0.7489 0.7489 0.7489
S: 0.7500 0.2526 0.7500
S: 0.7500 0.7500 0.2526

Output
The uncorrected formation energy is -2038 meV/atom. The value obtained for the total magnetic moment is 2.21 μB/f.u. As for the electronic total energy: -6.704 eV/atom.

***

A plane-wave DFT calculation with PBE was carried out for a relaxed Ce3NdS crystal.

a b c (Å): 5.3811 5.3811 5.3811
angles (deg): 90.00 90.00 90.00
Positions (direct):
Ce: 0.0000 0.0000 0.5000
Ce: 0.0000 0.5000 0.0000
Ce: 0.5000 0.0000 0.0000
Nd: 0.5000 0.5000 0.5000
S: 0.0000 0.0000 0.0000

Output
The uncorrected formation energy is -565 meV/atom. The value obtained for the total magnetic moment is 1.67 μB/f.u. As for the electronic total energy: -5.904 eV/atom.

***

Q: Look up the electronic total energy of the third one.
A: -6.704 eV/atom